No. 1
Here is AlSbRh2O after structural relaxation from Alexandria. Energies are from PBE.

Results
* total energy: -4.48 eV/atom
* SG: P4/mmm, No. 123
* N(E_F): 1.230 states/eV per atom
* formation energy (no corrections): 1.030 eV per atom

abc: 4.4490 4.4490 5.1524
angles: 90.00 90.00 90.00
Each line ends with the local moment (μB).
Fractional coordinates of all 5 atoms:
Rh 0.0000 0.5000 0.0000  0.42
Rh 0.5000 0.0000 0.0000  0.42
Al 0.0000 0.0000 0.0000  -0.01
O 0.5000 0.5000 0.5000  0.54
Sb 0.0000 0.0000 0.5000  -0.01

***

No. 2
Here is Hg2TePd3 after structural relaxation from Alexandria. Energies are from PBE.

Results
* total energy: -3.39 eV/atom
* SG: C2/c, No. 15
* N(E_F): 0.300 states/eV per atom
* formation energy (no corrections): -0.168 eV per atom

abc: 4.5687 8.3267 8.3267
angles: 120.59 105.89 105.89
Fractional coordinates of all 12 atoms:
Hg 0.7500 0.7688 0.2312
Hg 0.7500 0.0814 0.9186
Hg 0.2500 0.2312 0.7688
Hg 0.2500 0.9186 0.0814
Te 0.7500 0.4002 0.5998
Te 0.2500 0.5998 0.4002
Pd 0.0000 0.5000 0.0000
Pd 0.4853 0.6605 0.8106
Pd 0.5000 0.0000 0.5000
Pd 0.0147 0.1894 0.3395
Pd 0.9853 0.8106 0.6605
Pd 0.5147 0.3395 0.1894

***

No. 3
Here is AlCuHg2S after structural relaxation from Alexandria. Energies are from PBE.

Results
* total energy: -2.12 eV/atom
* SG: P4/mmm, No. 123
* N(E_F): 0.566 states/eV per atom
* formation energy (no corrections): 0.390 eV per atom

abc: 5.0117 5.0117 4.6952
angles: 90.00 90.00 90.00
Fractional coordinates of all 5 atoms:
Al 0.0000 0.0000 0.5000
Hg 0.5000 0.0000 0.0000
Hg 0.0000 0.5000 0.0000
Cu 0.0000 0.0000 0.0000
S 0.5000 0.5000 0.5000

***

No. 4
Here is DyMgTiAl after structural relaxation from Alexandria. Energies are from PBE.

Results
* total energy: -4.54 eV/atom
* SG: F-43m, No. 216
* N(E_F): 0.867 states/eV per atom

abc: 4.8996 4.8996 4.8996
angles: 60.00 60.00 60.00
Fractional coordinates of all 4 atoms:
Mg 0.5000 0.5000 0.5000
Al 0.0000 0.0000 0.0000
Dy 0.7500 0.7500 0.7500
Ti 0.2500 0.2500 0.2500

***

No. 5
Here is Pr6SbTe2Se3 after structural relaxation from Alexandria. Energies are from PBE.

Results
* total energy: -5.74 eV/atom
* SG: C2/m, No. 12
* N(E_F): 0.399 states/eV per atom
* formation energy (no corrections): -1.615 eV per atom

abc: 4.3813 8.8685 9.8670
angles: 103.35 102.83 90.00
Fractional coordinates of all 12 atoms:
Se 0.5000 0.5000 0.0000
Se 0.8326 0.1663 0.6651
Se 0.1674 0.8337 0.3349
Pr 0.3307 0.9347 0.6613
Pr 0.3408 0.3995 0.6815
Pr 0.6592 0.6005 0.3185
Pr 0.0056 0.7432 0.0111
Pr 0.6693 0.0653 0.3387
Pr 0.9944 0.2568 0.9889
Sb 0.5000 0.0000 0.0000
Te 0.8321 0.6644 0.6642
Te 0.1679 0.3356 0.3358

***

No. 6
Here is Er3TlIr after structural relaxation from Alexandria. Energies are from PBE.

Results
* total energy: -5.47 eV/atom
* SG: Cmcm, No. 63
* N(E_F): 0.868 states/eV per atom

abc: 3.7643 8.1471 9.4074
angles: 90.00 90.00 103.36
Fractional coordinates of all 10 atoms:
Tl 0.0000 0.0000 0.0000
Tl 0.0000 0.0000 0.5000
Er 0.1284 0.2568 0.2500
Er 0.6642 0.3285 0.9337
Er 0.6642 0.3285 0.5663
Er 0.8716 0.7432 0.7500
Er 0.3358 0.6715 0.0663
Er 0.3358 0.6715 0.4337
Ir 0.2480 0.4960 0.7500
Ir 0.7520 0.5040 0.2500

***

No. 7
Here is Lu2GeO5 after structural relaxation from Alexandria. Energies are from PBE.

Results
* total energy: -7.78 eV/atom
* SG: P2_1/c, No. 14
* N(E_F): 0.000 states/eV per atom
* formation energy (no corrections): -2.977 eV per atom

abc: 6.8014 6.6957 9.2174
angles: 81.98 90.00 90.00
Fractional coordinates of all 32 atoms:
Lu 0.3808 0.2239 0.9661
Lu 0.6434 0.0289 0.3463
Lu 0.1434 0.4711 0.6537
Lu 0.8808 0.2761 0.0339
Lu 0.8566 0.5289 0.3463
Lu 0.1192 0.7239 0.9661
Lu 0.6192 0.7761 0.0339
Lu 0.3566 0.9711 0.6537
O 0.1485 0.0385 0.1060
O 0.1816 0.5151 0.4057
O 0.8184 0.4849 0.5943
O 0.3184 0.0151 0.4057
O 0.9241 0.8438 0.3601
O 0.0759 0.1562 0.6399
O 0.8515 0.9615 0.8940
O 0.3515 0.5385 0.1060
O 0.0698 0.7706 0.7183
O 0.5759 0.3438 0.3601
O 0.4241 0.6562 0.6399
O 0.5698 0.7294 0.2817
O 0.4302 0.2706 0.7183
O 0.6816 0.9849 0.5943
O 0.9302 0.2294 0.2817
O 0.8803 0.5888 0.1043
O 0.6485 0.4615 0.8940
O 0.6197 0.0888 0.1043
O 0.3803 0.9112 0.8957
O 0.1197 0.4112 0.8957
Ge 0.6049 0.4767 0.6999
Ge 0.3951 0.5233 0.3001
Ge 0.8951 0.9767 0.6999
Ge 0.1049 0.0233 0.3001

***

No. 8
Here is Tb7Ag2Bi2 after structural relaxation from Alexandria. Energies are from PBE.

Results
* total energy: -4.28 eV/atom
* SG: Cmmm, No. 65
* N(E_F): 1.104 states/eV per atom

abc: 7.1727 6.9815 7.1727
angles: 90.00 101.60 90.00
Fractional coordinates of all 11 atoms:
Tb 0.5000 0.2433 0.5000
Tb 0.0000 0.0000 0.0000
Tb 0.5000 0.7433 0.0000
Tb 0.5000 0.7567 0.5000
Tb 0.5000 0.2567 0.0000
Tb 0.0000 0.2567 0.5000
Tb 0.0000 0.7433 0.5000
Ag 0.2781 0.0000 0.7219
Ag 0.7219 0.0000 0.2781
Bi 0.8086 0.5000 0.8086
Bi 0.1914 0.5000 0.1914

***

No. 9
Here is Te2CF after structural relaxation from Alexandria. Energies are from PBE.

Results
* total energy: -3.52 eV/atom
* SG: Fm-3m, No. 225
* N(E_F): 0.437 states/eV per atom
* formation energy (no corrections): 0.824 eV per atom

abc: 4.5514 4.5514 4.5514
angles: 60.00 60.00 60.00
Fractional coordinates of all 4 atoms:
C 0.0000 0.0000 0.0000
Te 0.7500 0.7500 0.7500
Te 0.2500 0.2500 0.2500
F 0.5000 0.5000 0.5000

***

No. 10
Here is Rb2GaTeSe4 after structural relaxation from Alexandria. Energies are from PBE.

Results
* total energy: -3.35 eV/atom
* SG: Fddd, No. 70
* N(E_F): 0.198 states/eV per atom
* formation energy (no corrections): -0.591 eV per atom

abc: 7.0436 8.5591 11.8305
angles: 82.96 72.68 65.70
Fractional coordinates of all 16 atoms:
Se 0.4000 0.7136 0.4121
Se 0.3500 0.7864 0.0879
Se 0.1878 0.2864 0.4121
Se 0.2242 0.2136 0.9121
Se 0.5622 0.2136 0.0879
Se 0.5258 0.2864 0.5879
Se 0.8637 0.7864 0.9121
Se 0.8863 0.7136 0.5879
Ga 0.5000 0.0000 0.0000
Ga 0.2500 0.5000 0.5000
Rb 0.1735 0.0000 0.6530
Rb 0.5765 0.5000 0.8470
Rb 0.8265 0.0000 0.3470
Rb 0.9235 0.5000 0.1530
Te 0.7500 0.5000 0.5000
Te 0.0000 0.0000 0.0000

***

No. 11
Here is ScAgP2S after structural relaxation from Alexandria. Energies are from PBE.

Results
* total energy: -4.33 eV/atom
* SG: P4/mmm, No. 123
* N(E_F): 0.777 states/eV per atom
* formation energy (no corrections): 0.501 eV per atom

abc: 4.7209 4.7209 4.8573
angles: 90.00 90.00 90.00
Fractional coordinates of all 5 atoms:
Sc 0.5000 0.5000 0.5000
P 0.0000 0.5000 0.0000
P 0.5000 0.0000 0.0000
S 0.0000 0.0000 0.5000
Ag 0.0000 0.0000 0.0000

***

No. 12
Here is Al2PW after structural relaxation from Alexandria. Energies are from PBE.

Results
* total energy: -6.32 eV/atom
* SG: Cmmm, No. 65
* N(E_F): 0.558 states/eV per atom

abc: 2.7882 2.7882 8.1051
angles: 90.00 90.00 103.81
Fractional coordinates of all 4 atoms:
Al 0.0000 0.0000 0.0024
Al 0.0000 0.0000 0.4976
W 0.5000 0.5000 0.7500
P 0.5000 0.5000 0.2500

***

> total energy of number 10 (Rb2GaTeSe4)?

-3.35 eV/atom